[1]
PBE Pm3ZrPa2N6, relaxed; SG = No. 12; Fermi-level density of states = 5.1 states/eV/f.u.; VASP energy = -9.2559 eV/atom
1.0
3.030 -5.251 0.000
3.030 5.251 0.000
-2.008 0.000 5.775
Pm Zr Pa N
3 1 2 6
Cartesian
0.000 0.000 0.000 Pm
3.030 1.727 0.000 Pm
3.030 -1.727 0.000 Pm
2.027 0.000 2.888 Zr
2.027 3.501 2.888 Pa
2.027 -3.501 2.888 Pa
1.012 1.754 1.647 N
0.010 0.000 4.152 N
1.012 -1.754 1.647 N
3.042 1.754 4.128 N
4.044 0.000 1.623 N
3.042 -1.754 4.128 N

***

[2]
PBE CrMo2Ir, relaxed; polymorph energy (0 for the lowest one) = 0.027 eV/atom; formation energy from the elements = 0.043 eV per atom; SG = No. 99; Fermi-level density of states = 3.4 states/eV/f.u.; VASP energy = -9.9934 eV/atom
1.0
2.683 0.000 0.000
0.000 2.683 0.000
0.000 0.000 8.178
Cr Mo Ir
1 2 1
Cartesian
0.000 0.000 0.000 Cr
0.000 0.000 3.814 Mo
1.342 1.342 6.110 Mo
1.342 1.342 1.718 Ir

***

[3]
PBE YB2PdI, relaxed; SG = No. 123; Fermi-level density of states = 5.2 states/eV/f.u.; VASP energy = -4.5542 eV/atom
1.0
4.158 0.000 0.000
0.000 4.158 0.000
0.000 0.000 6.324
Y B Pd I
1 2 1 1
Cartesian
0.000 0.000 0.000 Y
0.000 2.079 3.162 B
2.079 0.000 3.162 B
2.079 2.079 3.162 Pd
2.079 2.079 0.000 I

***

[4]
PBE RbBa2Ca, relaxed; polymorph energy (0 for the lowest one) = 0.002 eV/atom; formation energy from the elements = 0.091 eV per atom; SG = No. 160; Fermi-level density of states = 5.8 states/eV/f.u.; VASP energy = -1.6122 eV/atom
1.0
2.194 1.267 14.876
-2.194 1.267 14.876
0.000 -2.534 14.876
Rb Ba Ca
1 2 1
Cartesian
0.000 0.000 0.000 Rb
0.000 0.000 25.639 Ba
0.000 0.000 33.864 Ba
0.000 0.000 7.437 Ca

***

[5]
PBE CsHfTe2H, relaxed; SG = No. 11; VASP energy = -4.8656 eV/atom
1.0
8.120 0.000 0.000
0.000 4.150 0.000
-3.342 0.000 9.797
Cs Hf Te H
2 2 4 2
Cartesian
0.260 1.038 2.947 Cs
4.518 3.113 6.850 Cs
0.015 1.038 8.189 Hf
4.763 3.113 1.608 Hf
2.227 3.113 0.164 Te
0.544 3.113 6.308 Te
4.234 1.038 3.489 Te
2.551 1.038 9.633 Te
-1.802 1.038 7.675 H
6.580 3.113 2.122 H

***

[6]
PBE KTlN, relaxed; polymorph energy (0 for the lowest one) = 0.000 eV/atom; SG = No. 12; Fermi-level density of states = 1.4 states/eV/f.u.; VASP energy = -4.0183 eV/atom
1.0
10.819 -1.774 0.000
10.819 1.774 0.000
-0.595 0.000 4.101
K Tl N
2 2 2
Cartesian
1.831 0.000 0.548 K
19.212 0.000 3.553 K
6.186 0.000 1.156 Tl
14.856 0.000 2.945 Tl
10.216 0.000 1.543 N
10.826 0.000 2.558 N

***

[7]
PBE Zr2C2I, relaxed; SG = No. 139; Fermi-level density of states = 3.5 states/eV/f.u.; VASP energy = -7.2482 eV/atom
1.0
-2.277 2.277 3.797
2.277 -2.277 3.797
2.277 2.277 -3.797
Zr C I
2 2 1
Cartesian
2.277 0.000 1.898 Zr
0.000 2.277 1.898 Zr
0.000 0.000 0.710 C
0.000 0.000 6.883 C
0.000 0.000 3.797 I

***

[8]
PBE K3Sb3Pt2, relaxed; polymorph energy (0 for the lowest one) = 0.076 eV/atom; SG = No. 62; Fermi-level density of states = 5.0 states/eV/f.u.; VASP energy = -3.8559 eV/atom
1.0
8.919 0.000 0.000
0.000 16.040 0.000
0.000 0.000 6.672
K Sb Pt
12 12 8
Cartesian
0.190 1.798 0.734 K
0.190 6.222 0.734 K
1.802 4.010 3.556 K
2.658 12.030 0.220 K
4.269 9.817 4.070 K
4.269 14.242 4.070 K
4.650 1.798 2.602 K
4.650 6.222 2.602 K
6.261 4.010 6.452 K
7.117 12.030 3.116 K
8.729 9.817 5.938 K
8.729 14.242 5.938 K
1.376 0.747 4.047 Sb
1.376 7.273 4.047 Sb
1.551 12.030 3.424 Sb
2.908 4.010 0.088 Sb
3.084 8.767 0.711 Sb
3.084 15.293 0.711 Sb
5.835 0.747 5.961 Sb
5.835 7.273 5.961 Sb
6.011 12.030 6.584 Sb
7.367 4.010 3.248 Sb
7.543 8.767 2.625 Sb
7.543 15.293 2.625 Sb
1.225 9.515 2.536 Pt
1.225 14.544 2.536 Pt
3.234 1.495 5.872 Pt
3.234 6.525 5.872 Pt
5.685 9.515 0.800 Pt
5.685 14.544 0.800 Pt
7.693 1.495 4.136 Pt
7.693 6.525 4.136 Pt